(1)
DFT (PBE-GGA) results for a geometry-optimized Sr3TaAs structure.

Unit cell a=5.741 b=5.741 c=5.741 alpha=90.00 beta=90.00 gamma=90.00
Fractional positions:
Sr 0.000 0.500 0.000
Sr 0.000 0.000 0.500
Sr 0.500 0.000 0.000
As 0.500 0.500 0.500
Ta 0.000 0.000 0.000

Calculated values
- ΔH_f (0 K) (meV/atom) = 991
- crystal system = cubic
- Fermi-level density of states (states/eV/f.u.) = 7.0
- energy above the lowest structure with this stoichiometry (kJ/mol of formula units) = 258
- E_tot (eV/f.u.) = -16.6


(2)
DFT (PBE-GGA) results for a geometry-optimized CsPbNF2 structure.

Unit cell a=5.085 b=5.085 c=4.530 alpha=90.00 beta=90.00 gamma=90.00
Fractional positions:
Pb 0.500 0.500 0.500
Cs 0.000 0.000 0.000
N 0.000 0.000 0.500
F 0.000 0.500 0.000
F 0.500 0.000 0.000

Calculated values
- crystal system = tetragonal
- formation energy without anion corrections (meV per atom) = -51.1
- Fermi-level density of states (states/eV/f.u.) = 2.0
- energy above the lowest structure with this stoichiometry (kJ/mol of formula units) = 497
- E_tot (eV/f.u.) = -16.9


Among the records above, which one has the highest E_tot?
Sr3TaAs


Which of these has the lowest Fermi-level density of states?
CsPbNF2


Repeat the second record exactly.
DFT (PBE-GGA) results for a geometry-optimized CsPbNF2 structure.

Unit cell a=5.085 b=5.085 c=4.530 alpha=90.00 beta=90.00 gamma=90.00
Fractional positions:
Pb 0.500 0.500 0.500
Cs 0.000 0.000 0.000
N 0.000 0.000 0.500
F 0.000 0.500 0.000
F 0.500 0.000 0.000

Calculated values
- crystal system = tetragonal
- formation energy without anion corrections (meV per atom) = -51.1
- Fermi-level density of states (states/eV/f.u.) = 2.0
- energy above the lowest structure with this stoichiometry (kJ/mol of formula units) = 497
- E_tot (eV/f.u.) = -16.9


Which value of energy above the lowest structure with this stoichiometry does entry 2 give?
497 kJ/mol of formula units